[1]
The following is a DFT calculation (PBE) of Ce6Al2In after structural relaxation.

Computed properties:
Excess energy over the best structure of this formula in the dataset: 0.00 kcal/mol of atoms
Calculated formation energy: -221 meV per atom
Symmetry: P6/mmm
N(E_F): 2.49 states/eV per atom

The structure in POSCAR format:
```
Ce6Al2In
1.0
2.982 0.000 0.000
0.000 7.823 -4.517
0.000 0.000 9.033
Al Ce In
2 6 1
Direct
0.000 0.667 0.333
0.000 0.333 0.667
0.500 0.346 0.000
0.500 0.000 0.346
0.500 0.000 0.654
0.500 0.654 0.654
0.500 0.654 0.000
0.500 0.346 0.346
0.000 0.000 0.000
```

[2]
The following is a DFT calculation (PBE) of Ce9Al2In3 after structural relaxation.

Computed properties:
Calculated formation energy: -125 meV per atom
Symmetry: Immm
N(E_F): 2.66 states/eV per atom

The structure in POSCAR format:
```
Ce9Al2In3
1.0
-1.600 -1.603 4.754
0.303 -8.789 0.055
6.366 1.993 5.730
Ce Al In
9 2 3
Direct
0.346 0.271 0.037
0.842 0.380 0.936
0.654 0.963 0.729
0.346 0.037 0.271
0.158 0.620 0.064
0.654 0.729 0.963
0.158 0.064 0.620
0.842 0.936 0.380
0.000 0.500 0.500
0.500 0.677 0.323
0.500 0.323 0.677
0.309 0.691 0.691
0.000 0.000 0.000
0.691 0.309 0.309
```

[3]
The following is a DFT calculation (PBE) of Ce9Al2In after structural relaxation.

Computed properties:
Calculated formation energy: -168 meV per atom
Symmetry: P4/mmm
N(E_F): 2.96 states/eV per atom

The structure in POSCAR format:
```
Ce9Al2In
1.0
-4.067 2.257 0.790
-0.883 0.031 -4.635
-6.667 -12.433 1.186
Ce Al In
9 2 1
Direct
0.500 0.500 0.663
0.000 0.500 0.500
0.000 0.500 0.174
0.500 0.000 0.826
0.000 0.500 0.826
0.500 0.500 0.337
0.500 0.500 0.000
0.500 0.000 0.174
0.500 0.000 0.500
0.000 0.000 0.664
0.000 0.000 0.336
0.000 0.000 0.000
```

[4]
The following is a DFT calculation (PBE) of CeAlIn after structural relaxation.

Computed properties:
Calculated formation energy: 72 meV per atom
Symmetry: F-43m
N(E_F): 1.59 states/eV per atom

The structure in POSCAR format:
```
CeAlIn
1.0
7.554 0.000 0.000
3.777 6.542 0.000
3.777 2.181 6.168
Ce In Al
4 4 4
Direct
0.194 0.602 0.602
0.602 0.602 0.602
0.602 0.194 0.602
0.602 0.602 0.194
0.896 0.311 0.896
0.311 0.896 0.896
0.896 0.896 0.311
0.896 0.896 0.896
0.524 0.159 0.159
0.159 0.159 0.159
0.159 0.524 0.159
0.159 0.159 0.524
```

[5]
The following is a DFT calculation (PBE) of CeAl2In after structural relaxation.

Computed properties:
Calculated formation energy: -332 meV per atom
Symmetry: P4/mmm
N(E_F): 1.35 states/eV per atom

The structure in POSCAR format:
```
CeAl2In
1.0
4.371 0.000 0.000
0.000 4.517 0.000
0.000 0.000 4.517
Ce In Al
1 1 2
Direct
0.500 0.500 0.500
0.500 0.000 0.000
0.000 0.000 0.500
0.000 0.500 0.000
```

[6]
The following is a DFT calculation (PBE) of CeAlIn2 after structural relaxation.

Computed properties:
Excess energy over the best structure of this formula in the dataset: 4.63 kcal/mol of atoms
Calculated formation energy: -150 meV per atom
Symmetry: P4/mmm
N(E_F): 1.81 states/eV per atom

The structure in POSCAR format:
```
CeAlIn2
1.0
3.719 0.000 0.000
0.000 3.719 0.000
0.000 0.000 7.200
In Ce Al
2 1 1
Direct
0.000 0.000 0.790
0.000 0.000 0.210
0.500 0.500 0.500
0.500 0.500 0.000
```